Record 1
This record from Alexandria describes crystalline TbZnHgPd at its relaxed geometry. The functional is PBE-GGA.

extended XYZ file:
```
4
Lattice="0.000 3.431 3.431 3.431 0.000 3.431 3.431 3.431 0.000" Properties=species:S:1:pos:R:3 pbc="T T T"
Tb 0.000 0.000 0.000
Zn 3.431 3.431 3.431
Hg 1.715 1.715 1.715
Pd 5.146 5.146 5.146
```

Its total energy is -13.3 eV per cell. The theoretical density comes out at 10.93 g/cm3.

=====

Record 2
This record from Alexandria describes crystalline LaNd3In at its relaxed geometry. The functional is PBE-GGA.

extended XYZ file:
```
10
Lattice="5.031 0.000 0.000 0.000 6.944 0.000 0.000 0.000 10.143" Properties=species:S:1:pos:R:3 pbc="T T T"
La 1.258 1.736 0.652
La 3.774 5.208 9.492
Nd 1.258 0.053 7.615
Nd 1.258 1.736 4.403
Nd 1.258 3.419 7.615
Nd 3.774 3.525 2.529
Nd 3.774 5.208 5.741
Nd 3.774 6.891 2.529
In 1.258 5.208 3.733
In 3.774 1.736 6.410
```

Its total energy is -43.8 eV per cell. The theoretical density comes out at 6.43 g/cm3.

=====

Record 3
This record from Alexandria describes crystalline RbBP at its relaxed geometry. The functional is PBE-GGA.

extended XYZ file:
```
6
Lattice="4.740 -3.476 0.000 4.740 3.476 0.000 -2.747 0.000 6.468" Properties=species:S:1:pos:R:3 pbc="T T T"
Rb 1.677 0.000 1.427
Rb 5.054 0.000 5.041
B 4.740 0.865 0.000
B 4.740 -0.865 0.000
P 1.315 0.000 4.977
P 5.417 0.000 1.490
```

Its total energy is -26.1 eV per cell. The theoretical density comes out at 1.98 g/cm3.

=====

Record 4
This record from Alexandria describes crystalline TmCo4 at its relaxed geometry. The functional is PBE-GGA.

extended XYZ file:
```
5
Lattice="4.510 0.000 0.000 0.000 4.510 0.000 0.000 0.000 4.510" Properties=species:S:1:pos:R:3 pbc="T T T"
Tm 0.000 0.000 0.000
Co 0.000 0.000 2.255
Co 0.000 2.255 0.000
Co 2.255 0.000 0.000
Co 2.255 2.255 2.255
```

Its total energy is -23.6 eV per cell. The theoretical density comes out at 7.33 g/cm3.

=====

Record 5
This record from Alexandria describes crystalline Tb2Cd2BRh4 at its relaxed geometry. The functional is PBE-GGA.

extended XYZ file:
```
9
Lattice="-3.062 3.062 4.234 3.062 -3.062 4.234 3.062 3.062 -4.234" Properties=species:S:1:pos:R:3 pbc="T T T"
Tb 0.000 0.000 1.738
Tb 0.000 0.000 6.730
Cd 3.062 0.000 2.117
Cd 0.000 3.062 2.117
B 0.000 0.000 4.234
Rh 1.601 1.601 0.000
Rh 1.462 -1.462 4.234
Rh -1.462 1.462 4.234
Rh 1.462 1.462 4.234
```

Its total energy is -51.3 eV per cell. The theoretical density comes out at 10.09 g/cm3.

=====

Record 6
This record from Alexandria describes crystalline Pr4NdSmDy2 at its relaxed geometry. The functional is PBE-GGA.

extended XYZ file:
```
8
Lattice="6.331 0.000 0.000 0.000 3.671 0.000 -2.141 0.000 11.883" Properties=species:S:1:pos:R:3 pbc="T T T"
Pr 1.038 0.000 2.946
Pr -0.025 1.836 8.906
Pr 4.215 1.836 2.977
Pr 3.151 0.000 8.936
Nd 2.095 1.836 5.941
Sm 3.165 0.000 0.000
Dy -1.071 0.000 5.941
Dy 0.000 1.836 0.000
```

Its total energy is -37.7 eV per cell. The theoretical density comes out at 7.11 g/cm3.

=====

Record 7
This record from Alexandria describes crystalline Y4Mg3Sc at its relaxed geometry. The functional is PBE-GGA.

extended XYZ file:
```
8
Lattice="3.703 0.000 0.000 0.000 3.703 0.000 0.000 0.000 16.238" Properties=species:S:1:pos:R:3 pbc="T T T"
Y 0.000 0.000 1.946
Y 0.000 0.000 5.999
Y 0.000 0.000 10.240
Y 0.000 0.000 14.292
Mg 1.851 1.851 0.000
Mg 1.851 1.851 3.959
Mg 1.851 1.851 12.279
Sc 1.851 1.851 8.119
```

Its total energy is -37.5 eV per cell. The theoretical density comes out at 3.53 g/cm3.

=====

Record 8
This record from Alexandria describes crystalline Na10B13C7 at its relaxed geometry. The functional is PBE-GGA.

extended XYZ file:
```
30
Lattice="5.013 0.000 0.000 -2.507 7.174 0.000 -0.001 -2.878 8.519" Properties=species:S:1:pos:R:3 pbc="T T T"
Na 0.000 0.000 0.000
Na -0.006 -0.009 4.213
Na -0.009 -0.011 8.500
Na -0.008 2.862 4.229
Na 0.000 5.729 0.000
Na 0.003 5.719 4.212
Na 2.504 -1.464 8.500
Na 2.504 1.416 4.246
Na 2.505 1.417 8.502
Na 2.506 4.296 4.212
B -1.615 2.867 6.363
B -1.670 5.729 2.106
B -0.826 4.213 2.105
B 0.781 -1.516 6.368
B 1.681 0.072 2.105
B 0.725 1.420 6.362
B 1.691 -0.025 6.371
B 1.668 2.862 2.105
B 0.781 4.353 6.366
B 1.691 2.864 6.361
B 1.579 5.728 2.107
B 3.398 -0.027 6.367
B 4.175 1.422 2.106
C -0.825 1.419 6.360
C -0.833 4.289 6.365
C 0.855 1.466 2.104
C 0.832 4.276 2.107
C 3.338 0.008 2.106
C 4.181 -1.451 6.370
C 3.361 2.818 2.106
```

Its total energy is -161.0 eV per cell. The theoretical density comes out at 2.46 g/cm3.

=====

Record 9
This record from Alexandria describes crystalline AcPrNiIr at its relaxed geometry. The functional is PBE-GGA.

extended XYZ file:
```
4
Lattice="0.000 3.625 3.625 3.625 0.000 3.625 3.625 3.625 0.000" Properties=species:S:1:pos:R:3 pbc="T T T"
Ac 0.000 0.000 0.000
Pr 3.625 3.625 3.625
Ni 5.438 5.438 5.438
Ir 1.813 1.813 1.813
```

Its total energy is -24.9 eV per cell. The theoretical density comes out at 10.78 g/cm3.

=====

Record 10
This record from Alexandria describes crystalline Pm4Ho8Tm3 at its relaxed geometry. The functional is PBE-GGA.

extended XYZ file:
```
15
Lattice="6.668 -6.403 0.000 6.668 6.403 0.000 -3.353 0.000 5.815" Properties=species:S:1:pos:R:3 pbc="T T T"
Pm 0.000 0.000 0.000
Pm -1.677 0.000 2.908
Pm 3.334 3.201 0.000
Pm 3.334 -3.201 0.000
Ho 6.668 3.139 0.000
Ho 1.833 0.000 2.991
Ho 3.482 0.000 0.228
Ho 4.992 1.762 2.908
Ho 4.992 -1.762 2.908
Ho 6.502 0.000 5.587
Ho 8.151 0.000 2.824
Ho 6.668 -3.139 0.000
Tm 1.658 3.201 2.908
Tm 1.658 -3.201 2.908
Tm 6.668 0.000 0.000
```

Its total energy is -63.4 eV per cell. The theoretical density comes out at 8.05 g/cm3.

=====

Record 11
This record from Alexandria describes crystalline LiY2PdN at its relaxed geometry. The functional is PBE-GGA.

extended XYZ file:
```
5
Lattice="4.772 0.000 0.000 0.000 4.772 0.000 0.000 0.000 3.991" Properties=species:S:1:pos:R:3 pbc="T T T"
Li 0.000 0.000 0.000
Y 0.000 2.386 1.995
Y 2.386 0.000 1.995
Pd 2.386 2.386 0.000
N 0.000 0.000 1.995
```

The uncorrected formation energy comes out at -0.91 eV per atom. The theoretical density comes out at 5.58 g/cm3.

=====

Record 12
This record from Alexandria describes crystalline Ta6Nb at its relaxed geometry. The functional is PBE-GGA.

extended XYZ file:
```
7
Lattice="6.234 3.599 0.950 -6.234 3.599 0.950 0.000 -7.198 0.950" Properties=species:S:1:pos:R:3 pbc="T T T"
Ta -3.559 -3.084 1.406
Ta -4.450 1.541 1.444
Ta 0.891 -4.624 1.444
Ta -0.891 4.624 1.406
Ta 4.450 -1.540 1.406
Ta 3.559 3.084 1.444
Nb 0.000 0.000 1.425
```

Its total energy is -81.2 eV per cell. The theoretical density comes out at 15.31 g/cm3.